1.
# Li8CuAg3 | Alexandria via LeMat-Bulk | PBE | relaxed
# total magnetization: 0.000 μB/f.u.
# energy of formation from the pure elements: 96 meV/atom
# total energy: -0.1642 Ry per atom
data_Li8CuAg3
_chemical_formula_sum 'Li16 Cu2 Ag6'
_symmetry_space_group_name_H-M 'I -4 2 m'
_symmetry_Int_Tables_number 121
_symmetry_space_group_name_Hall 'I -4 2'
_cell_length_a 6.9367
_cell_length_b 6.9367
_cell_length_c 9.5059
_cell_angle_alpha 90.00
_cell_angle_beta 90.00
_cell_angle_gamma 90.00
loop_
_atom_site_label
_atom_site_type_symbol
_atom_site_fract_x
_atom_site_fract_y
_atom_site_fract_z
Li1 Li 0.1317 0.1317 0.2604
Li2 Li 0.2434 0.2434 0.5157
Cu1 Cu 0.0000 0.0000 0.5000
Ag1 Ag 0.0000 0.0000 0.0000
Ag2 Ag 0.0000 0.5000 0.2500



2.
# LiCuAg3 | Alexandria via LeMat-Bulk | PBE | relaxed
# total magnetization: 0.000 μB/f.u.
# relative energy among the computed polymorphs: 0.000 eV/atom
# energy of formation from the pure elements: -52 meV/atom
# total energy: -0.2179 Ry per atom
data_LiCuAg3
_chemical_formula_sum 'Li2 Cu2 Ag6'
_symmetry_space_group_name_H-M 'P -1'
_symmetry_Int_Tables_number 2
_cell_length_a 2.8643
_cell_length_b 7.4780
_cell_length_c 7.8308
_cell_angle_alpha 76.16
_cell_angle_beta 79.53
_cell_angle_gamma 89.62
loop_
_symmetry_equiv_pos_as_xyz
'x,y,z'
'-x,-y,-z'
loop_
_atom_site_label
_atom_site_type_symbol
_atom_site_fract_x
_atom_site_fract_y
_atom_site_fract_z
Li1 Li 0.0146 0.2611 0.4690
Cu1 Cu 0.2111 0.8648 0.0772
Ag1 Ag 0.1977 0.3419 0.1032
Ag2 Ag 0.3986 0.4160 0.7020
Ag3 Ag 0.4014 0.9841 0.6946



3.
# LiCu2Ag | Alexandria via LeMat-Bulk | PBE | relaxed
# total magnetization: 0.000 μB/f.u.
# relative energy among the computed polymorphs: 0.095 eV/atom
# energy of formation from the pure elements: 60 meV/atom
# total energy: -0.2337 Ry per atom
data_LiCu2Ag
_chemical_formula_sum 'Li3 Cu6 Ag3'
_symmetry_space_group_name_H-M 'R 3 m'
_symmetry_Int_Tables_number 160
_symmetry_space_group_name_Hall 'R 3 -2"'
_cell_length_a 2.7750
_cell_length_b 2.7750
_cell_length_c 25.6902
_cell_angle_alpha 90.00
_cell_angle_beta 90.00
_cell_angle_gamma 120.00
loop_
_atom_site_label
_atom_site_type_symbol
_atom_site_fract_x
_atom_site_fract_y
_atom_site_fract_z
Li1 Li 0.0000 0.0000 0.0000
Cu1 Cu 0.0000 0.0000 0.2522
Cu2 Cu 0.0000 0.0000 0.5103
Ag1 Ag 0.0000 0.0000 0.7561



4.
# Li6Cu2Ag | Alexandria via LeMat-Bulk | PBE | relaxed
# total magnetization: 0.000 μB/f.u.
# relative energy among the computed polymorphs: 0.015 eV/atom
# energy of formation from the pure elements: -56 meV/atom
# total energy: -0.1881 Ry per atom
data_Li6Cu2Ag
_chemical_formula_sum 'Li18 Cu6 Ag3'
_symmetry_space_group_name_H-M 'R -3 m'
_symmetry_Int_Tables_number 166
_symmetry_space_group_name_Hall '-R 3 2"'
_cell_length_a 7.6427
_cell_length_b 7.6427
_cell_length_c 7.8947
_cell_angle_alpha 90.00
_cell_angle_beta 90.00
_cell_angle_gamma 120.00
loop_
_atom_site_label
_atom_site_type_symbol
_atom_site_fract_x
_atom_site_fract_y
_atom_site_fract_z
Li1 Li 0.0000 0.3319 0.0000
Cu1 Cu 0.0000 0.0000 0.1577
Ag1 Ag 0.0000 0.0000 0.5000



5.
# Li4CuAg2 | Alexandria via LeMat-Bulk | PBE | relaxed
# total magnetization: 0.000 μB/f.u.
# relative energy among the computed polymorphs: 0.032 eV/atom
# energy of formation from the pure elements: -52 meV/atom
# total energy: -0.1871 Ry per atom
data_Li4CuAg2
_chemical_formula_sum 'Li8 Cu2 Ag4'
_symmetry_space_group_name_H-M 'C 1 2/m 1'
_symmetry_Int_Tables_number 12
_cell_length_a 13.9722
_cell_length_b 2.7573
_cell_length_c 6.9226
_cell_angle_alpha 90.00
_cell_angle_beta 119.29
_cell_angle_gamma 90.00
loop_
_symmetry_equiv_pos_as_xyz
'x,y,z'
'-x,-y,-z'
'-x,y,-z'
'x,-y,z'
'x+1/2,y+1/2,z'
'-x+1/2,-y+1/2,-z'
'-x+1/2,y+1/2,-z'
'x+1/2,-y+1/2,z'
loop_
_atom_site_label
_atom_site_type_symbol
_atom_site_fract_x
_atom_site_fract_y
_atom_site_fract_z
Li1 Li 0.0836 0.0000 0.2318
Li2 Li 0.1344 0.5000 0.8850
Cu1 Cu 0.0000 0.0000 0.5000
Ag1 Ag 0.2225 0.0000 0.6620



6.
# Li8Cu2Ag | Alexandria via LeMat-Bulk | PBE | relaxed
# total magnetization: 0.000 μB/f.u.
# relative energy among the computed polymorphs: 0.070 eV/atom
# energy of formation from the pure elements: 17 meV/atom
# total energy: -0.1749 Ry per atom
data_Li8Cu2Ag
_chemical_formula_sum 'Li16 Cu4 Ag2'
_symmetry_space_group_name_H-M 'C 1 2/m 1'
_symmetry_Int_Tables_number 12
_cell_length_a 7.3883
_cell_length_b 11.6505
_cell_length_c 4.6620
_cell_angle_alpha 90.00
_cell_angle_beta 108.25
_cell_angle_gamma 90.00
loop_
_symmetry_equiv_pos_as_xyz
'x,y,z'
'-x,-y,-z'
'-x,y,-z'
'x,-y,z'
'x+1/2,y+1/2,z'
'-x+1/2,-y+1/2,-z'
'-x+1/2,y+1/2,-z'
'x+1/2,-y+1/2,z'
loop_
_atom_site_label
_atom_site_type_symbol
_atom_site_fract_x
_atom_site_fract_y
_atom_site_fract_z
Li1 Li 0.0000 0.2333 0.0000
Li2 Li 0.1190 0.5000 0.8160
Li3 Li 0.1938 0.1212 0.5963
Cu1 Cu 0.0000 0.3172 0.5000
Ag1 Ag 0.0000 0.0000 0.0000



7.
# Li2Cu2Ag | Alexandria via LeMat-Bulk | PBE | relaxed
# total magnetization: 0.000 μB/f.u.
# relative energy among the computed polymorphs: 0.026 eV/atom
# energy of formation from the pure elements: 9 meV/atom
# total energy: -0.2179 Ry per atom
data_Li2Cu2Ag
_chemical_formula_sum 'Li4 Cu4 Ag2'
_symmetry_space_group_name_H-M 'P 4/m b m'
_symmetry_Int_Tables_number 127
_symmetry_space_group_name_Hall '-P 4 2ab'
_cell_length_a 7.1601
_cell_length_b 7.1601
_cell_length_c 2.7560
_cell_angle_alpha 90.00
_cell_angle_beta 90.00
_cell_angle_gamma 90.00
loop_
_atom_site_label
_atom_site_type_symbol
_atom_site_fract_x
_atom_site_fract_y
_atom_site_fract_z
Li1 Li 0.1738 0.3262 0.0000
Cu1 Cu 0.1218 0.6218 0.5000
Ag1 Ag 0.0000 0.0000 0.5000



8.
# LiCuAg6 | Alexandria via LeMat-Bulk | PBE | relaxed
# total magnetization: 0.000 μB/f.u.
# energy of formation from the pure elements: 284 meV/atom
# total energy: -0.1915 Ry per atom
data_LiCuAg6
_chemical_formula_sum 'Li3 Cu3 Ag18'
_symmetry_space_group_name_H-M 'R -3 m'
_symmetry_Int_Tables_number 166
_symmetry_space_group_name_Hall '-R 3 2"'
_cell_length_a 7.6571
_cell_length_b 7.6571
_cell_length_c 9.6035
_cell_angle_alpha 90.00
_cell_angle_beta 90.00
_cell_angle_gamma 120.00
loop_
_atom_site_label
_atom_site_type_symbol
_atom_site_fract_x
_atom_site_fract_y
_atom_site_fract_z
Li1 Li 0.0000 0.0000 0.0000
Cu1 Cu 0.0000 0.0000 0.5000
Ag1 Ag 0.0838 0.5419 0.3705



9.
# Li12CuAg2 | Alexandria via LeMat-Bulk | PBE | relaxed
# total magnetization: 0.000 μB/f.u.
# energy of formation from the pure elements: 96 meV/atom
# total energy: -0.1535 Ry per atom
data_Li12CuAg2
_chemical_formula_sum 'Li24 Cu2 Ag4'
_symmetry_space_group_name_H-M 'P 4/n b m'
_symmetry_Int_Tables_number 125
_cell_length_a 5.3892
_cell_length_b 5.3892
_cell_length_c 19.9934
_cell_angle_alpha 90.00
_cell_angle_beta 90.00
_cell_angle_gamma 90.00
loop_
_symmetry_equiv_pos_as_xyz
'x,y,z'
'-x,-y,-z'
'-y+1/2,x,z'
'y+1/2,-x,-z'
'-x+1/2,-y+1/2,z'
'x+1/2,y+1/2,-z'
'y,-x+1/2,z'
'-y,x+1/2,-z'
'x,-y+1/2,-z'
'-x,y+1/2,z'
'-y+1/2,-x+1/2,-z'
'y+1/2,x+1/2,z'
'-x+1/2,y,-z'
'x+1/2,-y,z'
'y,x,-z'
'-y,-x,z'
loop_
_atom_site_label
_atom_site_type_symbol
_atom_site_fract_x
_atom_site_fract_y
_atom_site_fract_z
Li1 Li 0.0000 0.0000 0.0846
Li2 Li 0.0646 0.5646 0.4363
Li3 Li 0.2500 0.2500 0.2088
Li4 Li 0.2500 0.2500 0.3368
Cu1 Cu 0.2500 0.7500 0.0000
Ag1 Ag 0.2500 0.7500 0.3088



10.
# Li2CuAg2 | Alexandria via LeMat-Bulk | PBE | relaxed
# total magnetization: 0.000 μB/f.u.
# relative energy among the computed polymorphs: 0.111 eV/atom
# energy of formation from the pure elements: 7 meV/atom
# total energy: -0.1998 Ry per atom
data_Li2CuAg2
_chemical_formula_sum 'Li4 Cu2 Ag4'
_symmetry_space_group_name_H-M 'P 4/m b m'
_symmetry_Int_Tables_number 127
_symmetry_space_group_name_Hall '-P 4 2ab'
_cell_length_a 7.1604
_cell_length_b 7.1604
_cell_length_c 3.1421
_cell_angle_alpha 90.00
_cell_angle_beta 90.00
_cell_angle_gamma 90.00
loop_
_atom_site_label
_atom_site_type_symbol
_atom_site_fract_x
_atom_site_fract_y
_atom_site_fract_z
Li1 Li 0.1593 0.3407 0.0000
Cu1 Cu 0.0000 0.0000 0.5000
Ag1 Ag 0.1424 0.6424 0.5000



no.,density of states at the Fermi level (states/eV per cell)
1,9.9
2,1.7
3,5.0
4,8.7
5,2.6
6,6.3
7,3.0
8,7.5
9,11.8
10,2.8